Arrangement a

## Cs2Ag2H (GGA-PBE)

Data for a geometry-optimized Cs2Ag2H structure.

The structure in CIF format:
```
data_Cs2Ag2H
_cell_length_a 10.4306
_cell_length_b 10.4306
_cell_length_c 10.4306
_cell_angle_alpha 158.06
_cell_angle_beta 158.06
_cell_angle_gamma 31.23
_space_group_name_H-M_alt 'P 1'
_space_group_IT_number 1
loop_
_space_group_symop_operation_xyz
'x,y,z'
loop_
_atom_site_label
_atom_site_type_symbol
_atom_site_fract_x
_atom_site_fract_y
_atom_site_fract_z
Cs1 Cs 0.0939 0.0939 0.0000
Cs2 Cs 0.9061 0.9061 0.0000
Ag1 Ag 0.2500 0.7500 0.5000
Ag2 Ag 0.7500 0.2500 0.5000
H1 H 0.5000 0.5000 0.0000
```


Arrangement b

## Cs2Ag2H (GGA-PBE)

Data for a geometry-optimized Cs2Ag2H structure.

The structure in CIF format:
```
data_Cs2Ag2H
_cell_length_a 6.0966
_cell_length_b 6.0966
_cell_length_c 6.0966
_cell_angle_alpha 109.08
_cell_angle_beta 109.08
_cell_angle_gamma 110.26
_space_group_name_H-M_alt 'P 1'
_space_group_IT_number 1
loop_
_space_group_symop_operation_xyz
'x,y,z'
loop_
_atom_site_label
_atom_site_type_symbol
_atom_site_fract_x
_atom_site_fract_y
_atom_site_fract_z
Cs1 Cs 0.2500 0.7500 0.5000
Cs2 Cs 0.7500 0.2500 0.5000
Ag1 Ag 0.2054 0.2054 0.0000
Ag2 Ag 0.7946 0.7946 0.0000
H1 H 0.5000 0.5000 0.0000
```


Which of them is most stable? Easy: arrangement a.


Arrangement a

## Cs4AgH2 (GGA-PBE)

Data for a geometry-optimized Cs4AgH2 structure.

The structure in CIF format:
```
data_Cs4AgH2
_cell_length_a 9.8261
_cell_length_b 9.8261
_cell_length_c 9.8261
_cell_angle_alpha 139.19
_cell_angle_beta 139.19
_cell_angle_gamma 59.09
_space_group_name_H-M_alt 'P 1'
_space_group_IT_number 1
loop_
_space_group_symop_operation_xyz
'x,y,z'
loop_
_atom_site_label
_atom_site_type_symbol
_atom_site_fract_x
_atom_site_fract_y
_atom_site_fract_z
Cs1 Cs 0.0000 0.5000 0.5000
Cs2 Cs 0.2358 0.2358 0.0000
Cs3 Cs 0.5000 0.0000 0.5000
Cs4 Cs 0.7642 0.7642 0.0000
Ag1 Ag 0.0000 0.0000 0.0000
H1 H 0.3996 0.3996 0.0000
H2 H 0.6004 0.6004 0.0000
```


Arrangement b

## Cs4AgH2 (GGA-PBE)

Data for a geometry-optimized Cs4AgH2 structure.

The structure in CIF format:
```
data_Cs4AgH2
_cell_length_a 9.4318
_cell_length_b 9.4318
_cell_length_c 9.4318
_cell_angle_alpha 108.98
_cell_angle_beta 108.98
_cell_angle_gamma 110.46
_space_group_name_H-M_alt 'P 1'
_space_group_IT_number 1
loop_
_space_group_symop_operation_xyz
'x,y,z'
loop_
_atom_site_label
_atom_site_type_symbol
_atom_site_fract_x
_atom_site_fract_y
_atom_site_fract_z
Cs1 Cs 0.2187 0.2867 0.5681
Cs2 Cs 0.2187 0.6506 0.9319
Cs3 Cs 0.2867 0.2187 0.0681
Cs4 Cs 0.3494 0.7813 0.5681
Cs5 Cs 0.6506 0.2187 0.4319
Cs6 Cs 0.7133 0.7813 0.9319
Cs7 Cs 0.7813 0.3494 0.0681
Cs8 Cs 0.7813 0.7133 0.4319
Ag1 Ag 0.1250 0.8750 0.2500
Ag2 Ag 0.8750 0.1250 0.7500
H1 H 0.0000 0.5000 0.5000
H2 H 0.5000 0.0000 0.0000
H3 H 0.5000 0.5000 0.0000
H4 H 0.5000 0.5000 0.5000
```


Which of them is most stable? Easy: arrangement b.


Arrangement a

## CsHfAg2 (GGA-PBE)

Data for a geometry-optimized CsHfAg2 structure.

The structure in CIF format:
```
data_CsHfAg2
_cell_length_a 5.3711
_cell_length_b 5.3711
_cell_length_c 5.3711
_cell_angle_alpha 60.00
_cell_angle_beta 60.00
_cell_angle_gamma 60.00
_space_group_name_H-M_alt 'P 1'
_space_group_IT_number 1
loop_
_space_group_symop_operation_xyz
'x,y,z'
loop_
_atom_site_label
_atom_site_type_symbol
_atom_site_fract_x
_atom_site_fract_y
_atom_site_fract_z
Cs1 Cs 0.0000 0.0000 0.0000
Hf1 Hf 0.5000 0.5000 0.5000
Ag1 Ag 0.2500 0.2500 0.2500
Ag2 Ag 0.7500 0.7500 0.7500
```


Arrangement b

## CsHfAg2 (GGA-PBE)

Data for a geometry-optimized CsHfAg2 structure.

The structure in CIF format:
```
data_CsHfAg2
_cell_length_a 7.0161
_cell_length_b 7.0161
_cell_length_c 7.0161
_cell_angle_alpha 107.21
_cell_angle_beta 107.21
_cell_angle_gamma 114.10
_space_group_name_H-M_alt 'P 1'
_space_group_IT_number 1
loop_
_space_group_symop_operation_xyz
'x,y,z'
loop_
_atom_site_label
_atom_site_type_symbol
_atom_site_fract_x
_atom_site_fract_y
_atom_site_fract_z
Cs1 Cs 0.0000 0.0000 0.0000
Cs2 Cs 0.7500 0.2500 0.5000
Hf1 Hf 0.2500 0.7500 0.5000
Hf2 Hf 0.5000 0.5000 0.0000
Ag1 Ag 0.1928 0.6250 0.0678
Ag2 Ag 0.3750 0.4428 0.5678
Ag3 Ag 0.5572 0.1250 0.9322
Ag4 Ag 0.8750 0.8072 0.4322
```


Which of them is most stable? Easy: arrangement b.


Arrangement a

## CsHf3Ag (GGA-PBE)

Data for a geometry-optimized CsHf3Ag structure.

The structure in CIF format:
```
data_CsHf3Ag
_cell_length_a 5.3104
_cell_length_b 5.3104
_cell_length_c 5.3104
_cell_angle_alpha 90.00
_cell_angle_beta 90.00
_cell_angle_gamma 90.00
_space_group_name_H-M_alt 'P 1'
_space_group_IT_number 1
loop_
_space_group_symop_operation_xyz
'x,y,z'
loop_
_atom_site_label
_atom_site_type_symbol
_atom_site_fract_x
_atom_site_fract_y
_atom_site_fract_z
Cs1 Cs 0.0000 0.0000 0.0000
Hf1 Hf 0.0000 0.5000 0.5000
Hf2 Hf 0.5000 0.0000 0.5000
Hf3 Hf 0.5000 0.5000 0.0000
Ag1 Ag 0.5000 0.5000 0.5000
```


Arrangement b

## CsHf3Ag (GGA-PBE)

Data for a geometry-optimized CsHf3Ag structure.

The structure in CIF format:
```
data_CsHf3Ag
_cell_length_a 5.2371
_cell_length_b 5.2371
_cell_length_c 5.2371
_cell_angle_alpha 90.00
_cell_angle_beta 90.00
_cell_angle_gamma 90.00
_space_group_name_H-M_alt 'P 1'
_space_group_IT_number 1
loop_
_space_group_symop_operation_xyz
'x,y,z'
loop_
_atom_site_label
_atom_site_type_symbol
_atom_site_fract_x
_atom_site_fract_y
_atom_site_fract_z
Cs1 Cs 0.0000 0.0000 0.0000
Hf1 Hf 0.0000 0.0000 0.5000
Hf2 Hf 0.0000 0.5000 0.0000
Hf3 Hf 0.5000 0.0000 0.0000
Ag1 Ag 0.5000 0.5000 0.5000
```


Which of them is most stable? Easy: arrangement a.


Arrangement a

## CsHfAg (GGA-PBE)

Data for a geometry-optimized CsHfAg structure.

The structure in CIF format:
```
data_CsHfAg
_cell_length_a 3.5449
_cell_length_b 5.3911
_cell_length_c 13.2987
_cell_angle_alpha 97.26
_cell_angle_beta 90.45
_cell_angle_gamma 109.19
_space_group_name_H-M_alt 'P 1'
_space_group_IT_number 1
loop_
_space_group_symop_operation_xyz
'x,y,z'
loop_
_atom_site_label
_atom_site_type_symbol
_atom_site_fract_x
_atom_site_fract_y
_atom_site_fract_z
Cs1 Cs 0.1487 0.3163 0.1794
Cs2 Cs 0.8513 0.6837 0.8206
Hf1 Hf 0.0726 0.1396 0.5960
Hf2 Hf 0.9274 0.8604 0.4040
Ag1 Ag 0.3451 0.6862 0.5632
Ag2 Ag 0.6549 0.3138 0.4368
```


Arrangement b

## CsHfAg (GGA-PBE)

Data for a geometry-optimized CsHfAg structure.

The structure in CIF format:
```
data_CsHfAg
_cell_length_a 4.7745
_cell_length_b 4.7745
_cell_length_c 12.9007
_cell_angle_alpha 90.19
_cell_angle_beta 90.19
_cell_angle_gamma 59.93
_space_group_name_H-M_alt 'P 1'
_space_group_IT_number 1
loop_
_space_group_symop_operation_xyz
'x,y,z'
loop_
_atom_site_label
_atom_site_type_symbol
_atom_site_fract_x
_atom_site_fract_y
_atom_site_fract_z
Cs1 Cs 0.0000 0.0000 0.0000
Cs2 Cs 0.6617 0.6617 0.3681
Hf1 Hf 0.3314 0.3314 0.5884
Hf2 Hf 0.9982 0.9982 0.6982
Ag1 Ag 0.3320 0.3320 0.8022
Ag2 Ag 0.6651 0.6651 0.7117
```


Which of them is most stable? Easy: arrangement b.


Arrangement a

## Cs2Ag2Hg (GGA-PBE)

Data for a geometry-optimized Cs2Ag2Hg structure.

The structure in CIF format:
```
data_Cs2Ag2Hg
_cell_length_a 11.9947
_cell_length_b 11.9947
_cell_length_c 11.9947
_cell_angle_alpha 160.49
_cell_angle_beta 160.49
_cell_angle_gamma 27.73
_space_group_name_H-M_alt 'P 1'
_space_group_IT_number 1
loop_
_space_group_symop_operation_xyz
'x,y,z'
loop_
_atom_site_label
_atom_site_type_symbol
_atom_site_fract_x
_atom_site_fract_y
_atom_site_fract_z
Cs1 Cs 0.1162 0.1162 0.0000
Cs2 Cs 0.8838 0.8838 0.0000
Ag1 Ag 0.2500 0.7500 0.5000
Ag2 Ag 0.7500 0.2500 0.5000
Hg1 Hg 0.5000 0.5000 0.0000
```


Arrangement b

## Cs2Ag2Hg (GGA-PBE)

Data for a geometry-optimized Cs2Ag2Hg structure.

The structure in CIF format:
```
data_Cs2Ag2Hg
_cell_length_a 8.6819
_cell_length_b 8.6819
_cell_length_c 5.3446
_cell_angle_alpha 90.00
_cell_angle_beta 90.00
_cell_angle_gamma 90.00
_space_group_name_H-M_alt 'P 1'
_space_group_IT_number 1
loop_
_space_group_symop_operation_xyz
'x,y,z'
loop_
_atom_site_label
_atom_site_type_symbol
_atom_site_fract_x
_atom_site_fract_y
_atom_site_fract_z
Cs1 Cs 0.1800 0.3200 0.0000
Cs2 Cs 0.3200 0.8200 0.0000
Cs3 Cs 0.6800 0.1800 0.0000
Cs4 Cs 0.8200 0.6800 0.0000
Ag1 Ag 0.1163 0.6163 0.5000
Ag2 Ag 0.3837 0.1163 0.5000
Ag3 Ag 0.6163 0.8837 0.5000
Ag4 Ag 0.8837 0.3837 0.5000
Hg1 Hg 0.0000 0.0000 0.5000
Hg2 Hg 0.5000 0.5000 0.5000
```


Arrangement c

## Cs2Ag2Hg (GGA-PBE)

Data for a geometry-optimized Cs2Ag2Hg structure.

The structure in CIF format:
```
data_Cs2Ag2Hg
_cell_length_a 6.9235
_cell_length_b 6.9235
_cell_length_c 9.2056
_cell_angle_alpha 99.81
_cell_angle_beta 99.81
_cell_angle_gamma 62.69
_space_group_name_H-M_alt 'P 1'
_space_group_IT_number 1
loop_
_space_group_symop_operation_xyz
'x,y,z'
loop_
_atom_site_label
_atom_site_type_symbol
_atom_site_fract_x
_atom_site_fract_y
_atom_site_fract_z
Cs1 Cs 0.0018 0.7065 0.8636
Cs2 Cs 0.2935 0.9982 0.6364
Cs3 Cs 0.7065 0.0018 0.3636
Cs4 Cs 0.9982 0.2935 0.1364
Ag1 Ag 0.2080 0.5066 0.4900
Ag2 Ag 0.4934 0.7920 0.0100
Ag3 Ag 0.5066 0.2080 0.9900
Ag4 Ag 0.7920 0.4934 0.5100
Hg1 Hg 0.4101 0.5899 0.2500
Hg2 Hg 0.5899 0.4101 0.7500
```


Arrangement d

## Cs2Ag2Hg (GGA-PBE)

Data for a geometry-optimized Cs2Ag2Hg structure.

The structure in CIF format:
```
data_Cs2Ag2Hg
_cell_length_a 7.2585
_cell_length_b 7.2585
_cell_length_c 13.1271
_cell_angle_alpha 113.05
_cell_angle_beta 113.05
_cell_angle_gamma 41.68
_space_group_name_H-M_alt 'P 1'
_space_group_IT_number 1
loop_
_space_group_symop_operation_xyz
'x,y,z'
loop_
_atom_site_label
_atom_site_type_symbol
_atom_site_fract_x
_atom_site_fract_y
_atom_site_fract_z
Cs1 Cs 0.1031 0.1031 0.3967
Cs2 Cs 0.2947 0.2947 0.8511
Cs3 Cs 0.7053 0.7053 0.1489
Cs4 Cs 0.8969 0.8969 0.6033
Ag1 Ag 0.0415 0.0415 0.9181
Ag2 Ag 0.4049 0.4049 0.3905
Ag3 Ag 0.5951 0.5951 0.6095
Ag4 Ag 0.9585 0.9585 0.0819
Hg1 Hg 0.4325 0.4325 0.1765
Hg2 Hg 0.5675 0.5675 0.8235
```


Which of them is most stable? Easy: arrangement d.